(1)
The following is a GGA-PBEsol calculation of crystalline IrCl3 at its relaxed geometry, from Alexandria via LeMat-Bulk.

## Properties
The crystal system is monoclinic. The total DFT energy (no corrections) comes out at -35.617 eV per cell. For the formation energy (no corrections), the calculation gives -47.3 kJ per mole of atoms. Its space-group type is C2/m (12).

Geometry as CIF:
```
data_IrCl3
_chemical_formula_sum 'Ir2 Cl6'
_space_group_name_H-M_alt 'P 1'
_space_group_IT_number 1
_cell_length_a 6.039
_cell_length_b 6.039
_cell_length_c 6.118
_cell_angle_alpha 98.94
_cell_angle_beta 98.94
_cell_angle_gamma 119.97
loop_
_space_group_symop_operation_xyz
'x,y,z'
loop_
_atom_site_label
_atom_site_type_symbol
_atom_site_fract_x
_atom_site_fract_y
_atom_site_fract_z
_atom_site_occupancy
Ir1 Ir 0.167 0.833 0.000 1
Ir2 Ir 0.833 0.167 0.000 1
Cl1 Cl 0.079 0.431 0.781 1
Cl2 Cl 0.217 0.217 0.220 1
Cl3 Cl 0.431 0.079 0.781 1
Cl4 Cl 0.569 0.921 0.219 1
Cl5 Cl 0.783 0.783 0.780 1
Cl6 Cl 0.921 0.569 0.219 1
```

***

(2)
The following is a GGA-PBEsol calculation of crystalline CaLa2Co at its relaxed geometry, from Alexandria via LeMat-Bulk.

## Properties
The crystal system is trigonal. The total DFT energy (no corrections) comes out at -20.699 eV per cell. As for the excess energy over the best structure of this formula in the dataset: 0 meV per atom. Its space-group type is R-3m (166).

Geometry as CIF:
```
data_CaLa2Co
_chemical_formula_sum 'Ca1 La2 Co1'
_space_group_name_H-M_alt 'P 1'
_space_group_IT_number 1
_cell_length_a 9.845
_cell_length_b 9.845
_cell_length_c 9.845
_cell_angle_alpha 23.09
_cell_angle_beta 23.09
_cell_angle_gamma 23.09
loop_
_space_group_symop_operation_xyz
'x,y,z'
loop_
_atom_site_label
_atom_site_type_symbol
_atom_site_fract_x
_atom_site_fract_y
_atom_site_fract_z
_atom_site_occupancy
Ca1 Ca 0.000 0.000 0.000 1
La1 La 0.218 0.218 0.218 1
La2 La 0.782 0.782 0.782 1
Co1 Co 0.500 0.500 0.500 1
```

***

(3)
The following is a GGA-PBEsol calculation of crystalline Te2AsPb at its relaxed geometry, from Alexandria via LeMat-Bulk.

## Properties
The crystal system is trigonal. The total DFT energy (no corrections) comes out at -16.179 eV per cell. As for the excess energy over the best structure of this formula in the dataset: 0 meV per atom. For the formation energy (no corrections), the calculation gives -0.5 kJ per mole of atoms. Its space-group type is R3m (160).

Geometry as CIF:
```
data_Te2AsPb
_chemical_formula_sum 'Te2 As1 Pb1'
_space_group_name_H-M_alt 'P 1'
_space_group_IT_number 1
_cell_length_a 7.378
_cell_length_b 7.378
_cell_length_c 7.378
_cell_angle_alpha 34.94
_cell_angle_beta 34.94
_cell_angle_gamma 34.94
loop_
_space_group_symop_operation_xyz
'x,y,z'
loop_
_atom_site_label
_atom_site_type_symbol
_atom_site_fract_x
_atom_site_fract_y
_atom_site_fract_z
_atom_site_occupancy
Te1 Te 0.000 0.000 0.000 1
Te2 Te 0.228 0.228 0.228 1
As1 As 0.722 0.722 0.722 1
Pb1 Pb 0.481 0.481 0.481 1
```

***

(4)
The following is a GGA-PBEsol calculation of crystalline HgAsPb2 at its relaxed geometry, from Alexandria via LeMat-Bulk.

## Properties
The crystal system is orthorhombic. The total DFT energy (no corrections) comes out at -13.451 eV per cell. As for the excess energy over the best structure of this formula in the dataset: 37 meV per atom. Its space-group type is Imm2 (44).

Geometry as CIF:
```
data_HgAsPb2
_chemical_formula_sum 'Hg1 As1 Pb2'
_space_group_name_H-M_alt 'P 1'
_space_group_IT_number 1
_cell_length_a 6.802
_cell_length_b 6.802
_cell_length_c 6.802
_cell_angle_alpha 145.53
_cell_angle_beta 142.57
_cell_angle_gamma 51.80
loop_
_space_group_symop_operation_xyz
'x,y,z'
loop_
_atom_site_label
_atom_site_type_symbol
_atom_site_fract_x
_atom_site_fract_y
_atom_site_fract_z
_atom_site_occupancy
Hg1 Hg 0.000 0.000 0.000 1
As1 As 0.754 0.254 0.500 1
Pb1 Pb 0.312 0.812 0.500 1
Pb2 Pb 0.579 0.579 0.000 1
```

***

(5)
The following is a GGA-PBEsol calculation of crystalline MnPPbCl2 at its relaxed geometry, from Alexandria via LeMat-Bulk.

## Properties
The crystal system is tetragonal. The total DFT energy (no corrections) comes out at -24.880 eV per cell. For the formation energy (no corrections), the calculation gives -25.3 kJ per mole of atoms. Its space-group type is P4/mmm (123).

Geometry as CIF:
```
data_MnPPbCl2
_chemical_formula_sum 'Mn1 P1 Pb1 Cl2'
_space_group_name_H-M_alt 'P 1'
_space_group_IT_number 1
_cell_length_a 4.653
_cell_length_b 4.653
_cell_length_c 4.906
_cell_angle_alpha 90.00
_cell_angle_beta 90.00
_cell_angle_gamma 90.00
loop_
_space_group_symop_operation_xyz
'x,y,z'
loop_
_atom_site_label
_atom_site_type_symbol
_atom_site_fract_x
_atom_site_fract_y
_atom_site_fract_z
_atom_site_occupancy
Mn1 Mn 0.000 0.000 0.000 1
P1 P 0.000 0.000 0.500 1
Pb1 Pb 0.500 0.500 0.500 1
Cl1 Cl 0.000 0.500 0.000 1
Cl2 Cl 0.500 0.000 0.000 1
```

***

(6)
The following is a GGA-PBEsol calculation of crystalline TaTcP2Cl at its relaxed geometry, from Alexandria via LeMat-Bulk.

## Properties
The crystal system is tetragonal. The total DFT energy (no corrections) comes out at -32.538 eV per cell. For the formation energy (no corrections), the calculation gives 94.0 kJ per mole of atoms. Its space-group type is P4/mmm (123).

Geometry as CIF:
```
data_TaTcP2Cl
_chemical_formula_sum 'Ta1 Tc1 P2 Cl1'
_space_group_name_H-M_alt 'P 1'
_space_group_IT_number 1
_cell_length_a 4.500
_cell_length_b 4.500
_cell_length_c 4.638
_cell_angle_alpha 90.00
_cell_angle_beta 90.00
_cell_angle_gamma 90.00
loop_
_space_group_symop_operation_xyz
'x,y,z'
loop_
_atom_site_label
_atom_site_type_symbol
_atom_site_fract_x
_atom_site_fract_y
_atom_site_fract_z
_atom_site_occupancy
Ta1 Ta 0.000 0.000 0.000 1
Tc1 Tc 0.500 0.500 0.500 1
P1 P 0.000 0.500 0.500 1
P2 P 0.500 0.000 0.500 1
Cl1 Cl 0.500 0.500 0.000 1
```

***

(7)
The following is a GGA-PBEsol calculation of crystalline Zr3CrRh at its relaxed geometry, from Alexandria via LeMat-Bulk.

## Properties
The crystal system is cubic. The total DFT energy (no corrections) comes out at -42.512 eV per cell. Its space-group type is Pm-3m (221).

Geometry as CIF:
```
data_Zr3CrRh
_chemical_formula_sum 'Zr3 Cr1 Rh1'
_space_group_name_H-M_alt 'P 1'
_space_group_IT_number 1
_cell_length_a 4.933
_cell_length_b 4.933
_cell_length_c 4.933
_cell_angle_alpha 90.00
_cell_angle_beta 90.00
_cell_angle_gamma 90.00
loop_
_space_group_symop_operation_xyz
'x,y,z'
loop_
_atom_site_label
_atom_site_type_symbol
_atom_site_fract_x
_atom_site_fract_y
_atom_site_fract_z
_atom_site_occupancy
Zr1 Zr 0.000 0.000 0.500 1
Zr2 Zr 0.000 0.500 0.000 1
Zr3 Zr 0.500 0.000 0.000 1
Cr1 Cr 0.500 0.500 0.500 1
Rh1 Rh 0.000 0.000 0.000 1
```

***

(8)
The following is a GGA-PBEsol calculation of crystalline Sr2MnRuBr at its relaxed geometry, from Alexandria via LeMat-Bulk.

## Properties
The crystal system is tetragonal. The total DFT energy (no corrections) comes out at -25.457 eV per cell. For the formation energy (no corrections), the calculation gives 0.5 kJ per mole of atoms. Its space-group type is P4/mmm (123).

Geometry as CIF:
```
data_Sr2MnRuBr
_chemical_formula_sum 'Sr2 Mn1 Ru1 Br1'
_space_group_name_H-M_alt 'P 1'
_space_group_IT_number 1
_cell_length_a 5.853
_cell_length_b 5.853
_cell_length_c 4.346
_cell_angle_alpha 90.00
_cell_angle_beta 90.00
_cell_angle_gamma 90.00
loop_
_space_group_symop_operation_xyz
'x,y,z'
loop_
_atom_site_label
_atom_site_type_symbol
_atom_site_fract_x
_atom_site_fract_y
_atom_site_fract_z
_atom_site_occupancy
Sr1 Sr 0.000 0.500 0.000 1
Sr2 Sr 0.500 0.000 0.000 1
Mn1 Mn 0.000 0.000 0.500 1
Ru1 Ru 0.000 0.000 0.000 1
Br1 Br 0.500 0.500 0.500 1
```

***

(9)
The following is a GGA-PBEsol calculation of crystalline CaIClO2 at its relaxed geometry, from Alexandria via LeMat-Bulk.

## Properties
The crystal system is tetragonal. The total DFT energy (no corrections) comes out at -16.873 eV per cell. For the formation energy (no corrections), the calculation gives -9.0 kJ per mole of atoms. Its space-group type is P4/mmm (123).

Geometry as CIF:
```
data_CaIClO2
_chemical_formula_sum 'Ca1 I1 Cl1 O2'
_space_group_name_H-M_alt 'P 1'
_space_group_IT_number 1
_cell_length_a 4.269
_cell_length_b 4.269
_cell_length_c 5.114
_cell_angle_alpha 90.00
_cell_angle_beta 90.00
_cell_angle_gamma 90.00
loop_
_space_group_symop_operation_xyz
'x,y,z'
loop_
_atom_site_label
_atom_site_type_symbol
_atom_site_fract_x
_atom_site_fract_y
_atom_site_fract_z
_atom_site_occupancy
Ca1 Ca 0.000 0.000 0.000 1
I1 I 0.500 0.500 0.000 1
Cl1 Cl 0.500 0.500 0.500 1
O1 O 0.000 0.500 0.500 1
O2 O 0.500 0.000 0.500 1
```

***

(10)
The following is a GGA-PBEsol calculation of crystalline CrRuN2O at its relaxed geometry, from Alexandria via LeMat-Bulk.

## Properties
The crystal system is tetragonal. The total DFT energy (no corrections) comes out at -40.357 eV per cell. For the formation energy (no corrections), the calculation gives 45.5 kJ per mole of atoms. Its space-group type is P4/mmm (123).

Geometry as CIF:
```
data_CrRuN2O
_chemical_formula_sum 'Cr1 Ru1 N2 O1'
_space_group_name_H-M_alt 'P 1'
_space_group_IT_number 1
_cell_length_a 3.701
_cell_length_b 3.701
_cell_length_c 3.546
_cell_angle_alpha 90.00
_cell_angle_beta 90.00
_cell_angle_gamma 90.00
loop_
_space_group_symop_operation_xyz
'x,y,z'
loop_
_atom_site_label
_atom_site_type_symbol
_atom_site_fract_x
_atom_site_fract_y
_atom_site_fract_z
_atom_site_occupancy
Cr1 Cr 0.000 0.000 0.000 1
Ru1 Ru 0.500 0.500 0.500 1
N1 N 0.000 0.500 0.000 1
N2 N 0.500 0.000 0.000 1
O1 O 0.000 0.000 0.500 1
```